Here is an optimized crystal structure of TePt15 from the Open Quantum Materials Database. Energies are from PBE.

Properties
crystal system = orthorhombic
energy = -5.842 eV/atom
relative energy among the computed polymorphs = 0.000 eV per atom

Cell lengths 3.9344, 3.9333, 44.8069 Å; angles 90.00, 90.00, 90.00 degrees
Closest atoms and distances in Å follow each position.
Fractional positions:
Te  0.2500  0.0000  0.3456  4 Pt 2.84
Te  0.7500  0.0000  0.6544  4 Pt 2.84
Pt  0.7500  0.5000  0.2447  12 Pt 2.78-2.81
Pt  0.7500  0.5000  0.7104  10 Pt 2.78-2.83
Pt  0.7500  0.5000  0.3333  4 Pt 2.78, 4 Te 2.84
Pt  0.7500  0.0000  0.0222  12 Pt 2.78-2.80
Pt  0.7500  0.0000  0.1999  12 Pt 2.78-2.81
Pt  0.2500  0.5000  0.1999  12 Pt 2.78-2.81
Pt  0.2500  0.0000  0.2442  12 Pt 2.78-2.83
Pt  0.7500  0.0000  0.1110  12 Pt 2.78-2.80
Pt  0.7500  0.5000  0.8890  12 Pt 2.78-2.80
Pt  0.2500  0.5000  0.7553  12 Pt 2.78-2.81
Pt  0.2500  0.5000  0.1110  12 Pt 2.78-2.80
Pt  0.7500  0.5000  0.9777  12 Pt 2.78-2.80
Pt  0.7500  0.5000  0.0667  12 Pt 2.78-2.80
Pt  0.2500  0.5000  0.9333  12 Pt 2.78-2.80
Pt  0.2500  0.0000  0.9778  12 Pt 2.78-2.80
Pt  0.7500  0.0000  0.2896  10 Pt 2.78-2.83
Pt  0.7500  0.0000  0.9334  12 Pt 2.78-2.80
Pt  0.2500  0.5000  0.6667  4 Pt 2.78, 4 Te 2.84
Pt  0.2500  0.0000  0.8890  12 Pt 2.78-2.80
Pt  0.2500  0.0000  0.8001  12 Pt 2.78-2.81
Pt  0.7500  0.0000  0.8445  12 Pt 2.78-2.80
Pt  0.7500  0.5000  0.1553  12 Pt 2.78-2.80
Pt  0.2500  0.0000  0.1555  12 Pt 2.78-2.80
Pt  0.2500  0.0000  0.7104  10 Pt 2.78-2.83
Pt  0.2500  0.5000  0.0223  12 Pt 2.78-2.80
Pt  0.2500  0.0000  0.0666  12 Pt 2.78-2.80
Pt  0.2500  0.5000  0.8447  12 Pt 2.78-2.80
Pt  0.2500  0.5000  0.2896  10 Pt 2.78-2.83
Pt  0.7500  0.5000  0.8001  12 Pt 2.78-2.81
Pt  0.7500  0.0000  0.7558  12 Pt 2.78-2.83

Here is an optimized crystal structure of Na2ThSe3 from the Open Quantum Materials Database. Energies are from PBE.

Properties
crystal system = orthorhombic
energy = -4.794 eV/atom

Cell lengths 7.8355, 7.8355, 11.6465 Å; angles 90.00, 90.00, 147.55 degrees
Closest atoms and distances in Å follow each position.
Fractional positions:
Se  0.6292  0.3708  0.5063  2 Na 2.85-2.99, 2 Th 2.93
Se  0.0148  0.9852  0.2500  4 Na 2.89, 2 Th 2.92
Se  0.9852  0.0148  0.7500  4 Na 2.89, 2 Th 2.92
Se  0.3708  0.6292  0.0063  2 Na 2.85-2.99, 2 Th 2.93
Se  0.6292  0.3708  0.9937  2 Na 2.85-2.99, 2 Th 2.93
Se  0.3708  0.6292  0.4937  2 Na 2.85-2.99, 2 Th 2.93
Na  0.3593  0.6407  0.7500  4 Se 2.89-2.99
Na  0.6104  0.3896  0.7500  4 Se 2.85-2.89
Na  0.3896  0.6104  0.2500  4 Se 2.85-2.89
Na  0.6407  0.3593  0.2500  4 Se 2.89-2.99
Th  0.0000  0.0000  0.5000  6 Se 2.92-2.93
Th  0.0000  0.0000  0.0000  6 Se 2.92-2.93

Here is an optimized crystal structure of TmZnW from the Open Quantum Materials Database. Energies are from PBE.

Properties
crystal system = cubic
formation enthalpy at 0 K = 0.766 eV per atom
energy = -5.467 eV/atom
relative energy among the computed polymorphs = 0.000 eV per atom

Cell lengths 4.4612, 4.4612, 4.4612 Å; angles 60.00, 60.00, 60.00 degrees
Closest atoms and distances in Å follow each position.
Fractional positions:
W  0.7500  0.7500  0.7500  4 Zn 2.73
Zn  0.0000  0.0000  0.0000  4 W 2.73, 4 Tm 2.73
Tm  0.2500  0.2500  0.2500  4 Zn 2.73

Here is an optimized crystal structure of Nd2Gd2CI5 from the Open Quantum Materials Database. Energies are from PBE.

Properties
crystal system = monoclinic
energy = -4.699 eV/atom
relative energy among the computed polymorphs = 0.000 eV per atom

Cell lengths 10.8600, 10.8600, 8.8177 Å; angles 101.49, 101.49, 21.57 degrees
Closest atoms and distances in Å follow each position.
Fractional positions:
Nd  0.9997  0.9997  0.1962  2 C 2.67
Nd  0.0003  0.0003  0.8038  2 C 2.67
I  0.8472  0.8472  0.6739  2 Gd 3.10, 1 Nd 3.23
I  0.1528  0.1528  0.3261  2 Gd 3.10, 1 Nd 3.23
I  0.5000  0.5000  0.5000  4 Nd 3.36
I  0.1541  0.1541  0.8258  2 Gd 3.11, 1 Nd 3.25
I  0.8459  0.8459  0.1742  2 Gd 3.11, 1 Nd 3.25
Gd  0.3841  0.3841  0.9423  1 C 2.42
Gd  0.6159  0.6159  0.0577  1 C 2.42
C  0.5000  0.5000  0.0000  2 Gd 2.42, 4 Nd 2.67

Here is an optimized crystal structure of La2SmMg4Si4 from the Open Quantum Materials Database. Energies are from PBE.

Properties
crystal system = orthorhombic
energy = -4.320 eV/atom

Cell lengths 13.6714, 13.6714, 13.6714 Å; angles 162.03, 161.34, 26.02 degrees
Closest atoms and distances in Å follow each position.
Fractional positions:
La  0.3590  0.8590  0.5000  6 Si 3.32-3.35, 8 Mg 3.35-3.66
La  0.6410  0.1410  0.5000  6 Si 3.32-3.35, 8 Mg 3.35-3.66
Si  0.4561  0.4561  0.0000  1 Si 2.34, 2 Mg 2.56
Si  0.8118  0.3118  0.5000  5 Mg 2.57-2.75
Si  0.5439  0.5439  0.0000  1 Si 2.34, 2 Mg 2.56
Si  0.1882  0.6882  0.5000  5 Mg 2.57-2.75
Mg  0.7494  0.7494  0.0000  4 Si 2.71-2.75
Mg  0.0917  0.5917  0.5000  3 Si 2.56-2.57
Mg  0.9083  0.4083  0.5000  3 Si 2.56-2.57
Mg  0.2506  0.2506  0.0000  4 Si 2.71-2.75
Sm  0.0000  0.0000  0.0000  4 Mg 3.25, 8 Si 3.29

Which total moment belongs to each record? In order, 0.0, 0.0, 0.0, 0.4, 0.0 μB per formula unit.